(1)
# Fe2AgPd6 (PBE, relaxed)
# Calculated formation energy in eV/atom: -0.07
# Total moment in μB/f.u.: 8.0
# DOS at the Fermi energy in states/eV/cell: 12.2
data_Fe2AgPd6
_chemical_formula_sum 'Fe4 Ag2 Pd12'
_space_group_name_H-M_alt 'C 1 2/m 1'
_space_group_IT_number 12
_cell_length_a 8.791
_cell_length_b 3.973
_cell_length_c 8.271
_cell_angle_alpha 90.00
_cell_angle_beta 110.31
_cell_angle_gamma 90.00
loop_
_space_group_symop_operation_xyz
'x,y,z'
'-x,-y,-z'
'-x,y,-z'
'x,-y,z'
'x+1/2,y+1/2,z'
'-x+1/2,-y+1/2,-z'
'-x+1/2,y+1/2,-z'
'x+1/2,-y+1/2,z'
loop_
_atom_site_label
_atom_site_type_symbol
_atom_site_fract_x
_atom_site_fract_y
_atom_site_fract_z
Fe1 Fe 0.156 0.000 0.061
Ag1 Ag 0.000 0.500 0.500
Pd1 Pd 0.021 0.500 0.849
Pd2 Pd 0.160 0.000 0.381
Pd3 Pd 0.184 0.000 0.744

=====

(2)
# Ho3TmHg6 (PBE, relaxed)
# Calculated formation energy in eV/atom: -0.42
# Total moment in μB/f.u.: 0.0
# DOS at the Fermi energy in states/eV/cell: 12.7
data_Ho3TmHg6
_chemical_formula_sum 'Ho6 Tm2 Hg12'
_space_group_name_H-M_alt 'P 1 21/m 1'
_space_group_IT_number 11
_cell_length_a 9.104
_cell_length_b 5.126
_cell_length_c 11.047
_cell_angle_alpha 90.00
_cell_angle_beta 106.65
_cell_angle_gamma 90.00
loop_
_space_group_symop_operation_xyz
'x,y,z'
'-x,-y,-z'
'-x,y+1/2,-z'
'x,-y+1/2,z'
loop_
_atom_site_label
_atom_site_type_symbol
_atom_site_fract_x
_atom_site_fract_y
_atom_site_fract_z
Ho1 Ho 0.018 0.250 0.388
Ho2 Ho 0.147 0.750 0.203
Ho3 Ho 0.270 0.250 0.992
Tm1 Tm 0.440 0.250 0.607
Hg1 Hg 0.036 0.750 0.910
Hg2 Hg 0.154 0.250 0.699
Hg3 Hg 0.258 0.750 0.492
Hg4 Hg 0.341 0.250 0.312
Hg5 Hg 0.359 0.750 0.804
Hg6 Hg 0.437 0.750 0.107

=====

(3)
# VC8N6 (PBE, relaxed)
# Total moment in μB/f.u.: 3.0
# Formation energy without anion corrections in meV/atom: 284
# Energy above the lowest structure with this stoichiometry in eV/atom: 0.000
# DOS at the Fermi energy in states/eV/cell: 1.5
data_VC8N6
_chemical_formula_sum 'V2 C16 N12'
_space_group_name_H-M_alt 'P m n a'
_space_group_IT_number 53
_cell_length_a 7.367
_cell_length_b 5.250
_cell_length_c 10.519
_cell_angle_alpha 90.00
_cell_angle_beta 90.00
_cell_angle_gamma 90.00
loop_
_space_group_symop_operation_xyz
'x,y,z'
'-x,-y,-z'
'-x+1/2,-y,z+1/2'
'x+1/2,y,-z+1/2'
'x,-y,-z'
'-x,y,z'
'-x+1/2,y,-z+1/2'
'x+1/2,-y,z+1/2'
loop_
_atom_site_label
_atom_site_type_symbol
_atom_site_fract_x
_atom_site_fract_y
_atom_site_fract_z
V1 V 0.000 0.000 0.000
C1 C 0.000 0.385 0.244
C2 C 0.000 0.424 0.662
C3 C 0.161 0.314 0.618
N1 N 0.000 0.231 0.163
N2 N 0.209 0.212 0.923

=====

(4)
# PmMgTl (PBE, relaxed)
# Calculated formation energy in eV/atom: -0.36
# Total moment in μB/f.u.: 0.0
# Energy above the lowest structure with this stoichiometry in eV/atom: 0.000
# DOS at the Fermi energy in states/eV/cell: 1.1
data_PmMgTl
_chemical_formula_sum 'Pm3 Mg3 Tl3'
_space_group_name_H-M_alt 'P -6 2 m'
_space_group_IT_number 189
_space_group_name_Hall 'P -6 -2'
_cell_length_a 7.6954
_cell_length_b 7.6954
_cell_length_c 4.7508
_cell_angle_alpha 90.00
_cell_angle_beta 90.00
_cell_angle_gamma 120.00
loop_
_atom_site_label
_atom_site_type_symbol
_atom_site_fract_x
_atom_site_fract_y
_atom_site_fract_z
Pm1 Pm 0.0000 0.4280 0.0000
Mg1 Mg 0.0000 0.7575 0.5000
Tl1 Tl 0.0000 0.0000 0.0000
Tl2 Tl 0.3333 0.6667 0.5000

=====

(5)
# CaDy2Rh (PBE, relaxed)
# Calculated formation energy in eV/atom: -0.40
# Total moment in μB/f.u.: 0.0
# Energy above the lowest structure with this stoichiometry in eV/atom: 0.003
# DOS at the Fermi energy in states/eV/cell: 12.1
data_CaDy2Rh
_chemical_formula_sum 'Ca3 Dy6 Rh3'
_space_group_name_H-M_alt 'R 3 m'
_space_group_IT_number 160
_space_group_name_Hall 'R 3 -2"'
_cell_length_a 4.0251
_cell_length_b 4.0251
_cell_length_c 27.3313
_cell_angle_alpha 90.00
_cell_angle_beta 90.00
_cell_angle_gamma 120.00
loop_
_atom_site_label
_atom_site_type_symbol
_atom_site_fract_x
_atom_site_fract_y
_atom_site_fract_z
Ca1 Ca 0.0000 0.0000 0.0000
Dy1 Dy 0.0000 0.0000 0.2222
Dy2 Dy 0.0000 0.0000 0.4485
Rh1 Rh 0.0000 0.0000 0.8354

=====

(6)
# MoIr2Br (PBE, relaxed)
# Total moment in μB/f.u.: 0.0
# Formation energy without anion corrections in meV/atom: 880
# Energy above the lowest structure with this stoichiometry in eV/atom: 0.522
# DOS at the Fermi energy in states/eV/cell: 9.0
data_MoIr2Br
_chemical_formula_sum 'Mo2 Ir4 Br2'
_space_group_name_H-M_alt 'C m m m'
_space_group_IT_number 65
_space_group_name_Hall '-C 2 2'
_cell_length_a 5.580
_cell_length_b 8.041
_cell_length_c 2.852
_cell_angle_alpha 90.00
_cell_angle_beta 90.00
_cell_angle_gamma 90.00
loop_
_atom_site_label
_atom_site_type_symbol
_atom_site_fract_x
_atom_site_fract_y
_atom_site_fract_z
Mo1 Mo 0.000 0.000 0.000
Ir1 Ir 0.250 0.250 0.500
Br1 Br 0.000 0.500 0.000

=====

The highest DOS at the Fermi energy belongs to which entry? Ho3TmHg6

=====

Copy entry 1 word for word.
# Fe2AgPd6 (PBE, relaxed)
# Calculated formation energy in eV/atom: -0.07
# Total moment in μB/f.u.: 8.0
# DOS at the Fermi energy in states/eV/cell: 12.2
data_Fe2AgPd6
_chemical_formula_sum 'Fe4 Ag2 Pd12'
_space_group_name_H-M_alt 'C 1 2/m 1'
_space_group_IT_number 12
_cell_length_a 8.791
_cell_length_b 3.973
_cell_length_c 8.271
_cell_angle_alpha 90.00
_cell_angle_beta 110.31
_cell_angle_gamma 90.00
loop_
_space_group_symop_operation_xyz
'x,y,z'
'-x,-y,-z'
'-x,y,-z'
'x,-y,z'
'x+1/2,y+1/2,z'
'-x+1/2,-y+1/2,-z'
'-x+1/2,y+1/2,-z'
'x+1/2,-y+1/2,z'
loop_
_atom_site_label
_atom_site_type_symbol
_atom_site_fract_x
_atom_site_fract_y
_atom_site_fract_z
Fe1 Fe 0.156 0.000 0.061
Ag1 Ag 0.000 0.500 0.500
Pd1 Pd 0.021 0.500 0.849
Pd2 Pd 0.160 0.000 0.381
Pd3 Pd 0.184 0.000 0.744